First-principles (PBE) data for Rb2HfZrF6 after structural relaxation, as listed in the Alexandria database.

Output
The size of the total moment is 0.20 μB/atom. The total energy is -58.2 eV per formula unit. The theoretical density comes out at 4.20 g/cm³. The density of states at the Fermi level comes out at 8.2 states/eV/f.u. The value obtained for the volume is 219.1 Å³/cell. Its uncorrected formation energy is -26.49 eV/f.u.

The structure in CIF format:
```
data_Rb2HfZrF6
_symmetry_space_group_name_H-M 'P 1'
_symmetry_Int_Tables_number 1
_symmetry_space_group_name_Hall 'P 1'
_cell_length_a 6.047
_cell_length_b 6.047
_cell_length_c 7.361
_cell_angle_alpha 65.75
_cell_angle_beta 65.75
_cell_angle_gamma 90.00
loop_
_atom_site_label
_atom_site_fract_x
_atom_site_fract_y
_atom_site_fract_z
F1 0.761 0.239 0.000
F2 0.761 0.761 0.000
F3 0.167 0.167 0.666
F4 0.239 0.239 0.000
F5 0.239 0.761 0.000
F6 0.833 0.833 0.334
Zr1 0.500 0.500 0.000
Rb1 0.750 0.250 0.500
Rb2 0.250 0.750 0.500
Hf1 0.000 0.000 0.000
```

First-principles (PBE) data for HfReF2 after structural relaxation, as listed in the Alexandria database.

Output
The size of the total moment is 0.25 μB/atom. The total energy is -29.2 eV per formula unit. The theoretical density comes out at 11.65 g/cm³. The density of states at the Fermi level comes out at 2.1 states/eV/f.u. The value obtained for the volume is 114.8 Å³/cell. Its uncorrected formation energy is -3.01 eV/f.u.

The structure in CIF format:
```
data_HfReF2
_symmetry_space_group_name_H-M 'P 1'
_symmetry_Int_Tables_number 1
_symmetry_space_group_name_Hall 'P 1'
_cell_length_a 3.822
_cell_length_b 3.822
_cell_length_c 8.312
_cell_angle_alpha 76.71
_cell_angle_beta 76.71
_cell_angle_gamma 90.00
loop_
_atom_site_label
_atom_site_fract_x
_atom_site_fract_y
_atom_site_fract_z
Re1 0.750 0.250 0.500
Re2 0.000 0.000 0.000
Hf1 0.250 0.750 0.500
Hf2 0.500 0.500 0.000
F1 0.875 0.864 0.750
F2 0.375 0.386 0.750
F3 0.614 0.125 0.250
F4 0.136 0.625 0.250
```

First-principles (PBE) data for HfReF2 after structural relaxation, as listed in the Alexandria database.

Output
The size of the total moment is 0.00 μB/atom. The total energy is -30.2 eV per formula unit. The theoretical density comes out at 12.50 g/cm³. The density of states at the Fermi level comes out at 2.5 states/eV/f.u. The value obtained for the volume is 53.5 Å³/cell. Its uncorrected formation energy is -4.06 eV/f.u.

The structure in CIF format:
```
data_HfReF2
_symmetry_space_group_name_H-M 'P 1'
_symmetry_Int_Tables_number 1
_symmetry_space_group_name_Hall 'P 1'
_cell_length_a 7.922
_cell_length_b 7.922
_cell_length_c 7.922
_cell_angle_alpha 20.53
_cell_angle_beta 20.53
_cell_angle_gamma 20.53
loop_
_atom_site_label
_atom_site_fract_x
_atom_site_fract_y
_atom_site_fract_z
F1 0.904 0.904 0.904
F2 0.096 0.096 0.096
Hf1 0.500 0.500 0.500
Re1 0.000 0.000 0.000
```

First-principles (PBE) data for HfReF2 after structural relaxation, as listed in the Alexandria database.

Output
The size of the total moment is 0.75 μB/atom. The total energy is -26.6 eV per formula unit. The theoretical density comes out at 11.68 g/cm³. The density of states at the Fermi level comes out at 2.3 states/eV/f.u. The value obtained for the volume is 57.2 Å³/cell. Its uncorrected formation energy is -0.47 eV/f.u.

The structure in CIF format:
```
data_HfReF2
_symmetry_space_group_name_H-M 'P 1'
_symmetry_Int_Tables_number 1
_symmetry_space_group_name_Hall 'P 1'
_cell_length_a 4.326
_cell_length_b 4.326
_cell_length_c 4.326
_cell_angle_alpha 60.00
_cell_angle_beta 60.00
_cell_angle_gamma 60.00
loop_
_atom_site_label
_atom_site_fract_x
_atom_site_fract_y
_atom_site_fract_z
Hf1 0.000 0.000 0.000
F1 0.750 0.750 0.750
F2 0.250 0.250 0.250
Re1 0.500 0.500 0.500
```